DFT (PBE) results for an optimized crystal structure of AcTbHoMg.

Cell and atoms, written as POSCAR:
```
AcTbHoMg
1.0
5.6933 0.0000 0.0000
2.8467 4.9306 0.0000
2.8467 1.6435 4.6486
Mg Ac Tb Ho
1 1 1 1
Direct
0.0000 0.0000 0.0000
0.5000 0.5000 0.5000
0.7500 0.7500 0.7500
0.2500 0.2500 0.2500
```

Computed properties:
VASP energy = -3.580 eV per atom
Energy of formation = 0.6 eV per formula unit
Volume = 130.5 Å³/f.u.



DFT (PBE) results for an optimized crystal structure of Ac2HoMgTe5.

Cell and atoms, written as POSCAR:
```
Ac2HoMgTe5
1.0
4.5035 0.0000 0.0000
-2.2518 9.7667 0.0000
0.0000 0.0000 13.7392
Ac Ho Mg Te
4 2 2 10
Direct
0.8673 0.7345 0.8092
0.1145 0.2290 0.6851
0.1327 0.2655 0.3092
0.8855 0.7710 0.1851
0.7987 0.5974 0.5142
0.2013 0.4026 0.0142
0.5563 0.1126 0.9521
0.4437 0.8874 0.4521
0.3583 0.7166 0.0009
0.6896 0.3793 0.8562
0.4958 0.9916 0.7743
0.2867 0.5735 0.6667
0.9516 0.9032 0.5654
0.6417 0.2834 0.5009
0.3104 0.6207 0.3562
0.5042 0.0084 0.2743
0.7133 0.4265 0.1667
0.0484 0.0968 0.0654
```

Computed properties:
Raw formation energy = -12.224 eV per formula unit
VASP energy = -4.702 eV per atom
Volume = 302.2 Å³/f.u.



DFT (PBE) results for an optimized crystal structure of AcHoThMg.

Cell and atoms, written as POSCAR:
```
AcHoThMg
1.0
-4.6876 0.0421 3.2401
-1.6304 -4.7381 2.7139
0.4528 -0.3346 5.6707
Mg Ac Ho Th
1 1 1 1
Direct
0.2500 0.2500 0.2500
0.7500 0.7500 0.7500
0.5000 0.5000 0.5000
0.0000 0.0000 0.0000
```

Computed properties:
VASP energy = -4.198 eV per atom
Energy of formation = 0.9 eV per formula unit
Volume = 130.9 Å³/f.u.



DFT (PBE) results for an optimized crystal structure of Ac3Ho2Mg2Tl4.

Cell and atoms, written as POSCAR:
```
Ac3Ho2Mg2Tl4
1.0
-2.5142 3.2879 -3.0905
-2.2101 -1.6382 4.3720
6.3653 12.1827 7.7825
Ac Ho Mg Tl
3 2 2 4
Direct
0.0000 0.0000 0.7380
0.0000 0.0000 0.0000
0.0000 0.0000 0.2620
0.6667 0.3333 0.4327
0.3333 0.6667 0.5673
0.6667 0.3333 0.8686
0.3333 0.6667 0.1314
0.6667 0.3333 0.1248
0.3333 0.6667 0.8752
0.6667 0.3333 0.6304
0.3333 0.6667 0.3696
```

Computed properties:
VASP energy = -3.309 eV per atom
Energy of formation = -2.3 eV per formula unit
Volume = 365.0 Å³/f.u.